# MnP5

A geometry-optimized MnP5 structure (GGA-PBE, Alexandria).

Properties
The value obtained for the total magnetic moment is 0.0040 μB per atom. Its formation enthalpy at 0 K is 0.10 eV/atom.

Cell and atoms, written as POSCAR:
```
MnP5
1.0
1.5272 6.8296 0.0539
-1.5272 6.8296 0.0539
0.0000 2.2321 6.3061
P Mn
5 1
Cartesian
0.0000 5.6318 1.8212
0.0000 9.9677 4.8786
0.0000 1.7415 4.0785
0.0000 7.8421 0.8999
0.0000 4.4792 0.0525
0.0000 13.1309 0.1360
```